No. 1
Material: BeAsCl2
Method: DFT, meta-GGA SCAN
State: PBEsol geometry

Lattice parameters (Å, degrees): 4.837 4.837 3.103 90.00 90.00 104.71
Fractional positions:
Be 0.000 0.000 0.000
As 0.500 0.500 0.000
Cl 0.000 0.500 0.500
Cl 0.500 0.000 0.500

Computed properties:
- crystal system = orthorhombic
- formation energy (no corrections) (meV per atom) = 645.3
- raw total energy (Ha/atom) = -0.3484
- magnetic moment (μB per formula unit) = 0.0
- excess energy over the best structure of this formula in the dataset (eV per formula unit) = 3.68


No. 2
Material: NiAgAs2
Method: DFT, meta-GGA SCAN
State: PBEsol geometry

Lattice parameters (Å, degrees): 4.501 4.501 3.139 90.00 90.00 100.75
Fractional positions:
Ni 0.000 0.000 0.000
Ag 0.500 0.500 0.000
As 0.000 0.500 0.500
As 0.500 0.000 0.500

Computed properties:
- crystal system = orthorhombic
- formation enthalpy at 0 K (eV per atom) = 0.25
- raw total energy (Ha/atom) = -0.7984
- magnetic moment (μB per formula unit) = 0.0
- excess energy over the best structure of this formula in the dataset (eV per formula unit) = 0.30


No. 3
Material: CoPIr2
Method: DFT, meta-GGA SCAN
State: PBEsol geometry

Lattice parameters (Å, degrees): 4.148 4.148 4.148 60.00 60.00 60.00
Fractional positions:
Co 0.000 0.000 0.000
P 0.500 0.500 0.500
Ir 0.250 0.250 0.250
Ir 0.750 0.750 0.750

Computed properties:
- crystal system = cubic
- formation enthalpy at 0 K (eV per atom) = 0.13
- raw total energy (Ha/atom) = -1.5560
- magnetic moment (μB per formula unit) = 3.4


No. 4
Material: KTeAs2
Method: DFT, meta-GGA SCAN
State: PBEsol geometry

Lattice parameters (Å, degrees): 3.730 3.730 8.450 90.00 90.00 90.00
Fractional positions:
K 0.000 0.000 0.000
Te 0.500 0.500 0.251
As 0.000 0.000 0.614
As 0.500 0.500 0.560

Computed properties:
- crystal system = tetragonal
- formation energy (no corrections) (meV per atom) = -98.5
- raw total energy (Ha/atom) = -0.7934
- magnetic moment (μB per formula unit) = 0.0


No. 5
Material: Be2Rh
Method: DFT, meta-GGA SCAN
State: PBEsol geometry

Lattice parameters (Å, degrees): 4.553 3.595 7.065 90.00 90.00 90.00
Fractional positions:
Be 0.136 0.250 0.024
Be 0.201 0.250 0.690
Be 0.299 0.750 0.190
Be 0.364 0.750 0.524
Be 0.636 0.250 0.476
Be 0.701 0.250 0.810
Be 0.799 0.750 0.310
Be 0.864 0.750 0.976
Rh 0.133 0.250 0.366
Rh 0.367 0.750 0.866
Rh 0.633 0.250 0.134
Rh 0.867 0.750 0.634

Computed properties:
- crystal system = orthorhombic
- formation enthalpy at 0 K (eV per atom) = -0.70
- raw total energy (Ha/atom) = -0.5462
- magnetic moment (μB per formula unit) = 0.0


No. 6
Material: Sc2GeH2
Method: DFT, meta-GGA SCAN
State: PBEsol geometry

Lattice parameters (Å, degrees): 5.519 5.519 5.519 142.80 142.80 53.63
Fractional positions:
Sc 0.149 0.149 0.000
Sc 0.851 0.851 0.000
Ge 0.500 0.500 0.000
H 0.250 0.750 0.500
H 0.750 0.250 0.500

Computed properties:
- crystal system = tetragonal
- raw total energy (Ha/atom) = -0.4287
- magnetic moment (μB per formula unit) = 0.0


No. 7
Material: Cr2SiAu
Method: DFT, meta-GGA SCAN
State: PBEsol geometry

Lattice parameters (Å, degrees): 4.781 4.781 4.781 140.81 130.63 64.77
Fractional positions:
Cr 0.234 0.234 0.000
Cr 0.766 0.766 0.000
Si 0.000 0.500 0.500
Au 0.500 0.000 0.500

Computed properties:
- crystal system = orthorhombic
- formation energy (no corrections) (meV per atom) = 124.0
- raw total energy (Ha/atom) = -1.0606
- magnetic moment (μB per formula unit) = 1.6


No. 8
Material: B2TeC2
Method: DFT, meta-GGA SCAN
State: PBEsol geometry

Lattice parameters (Å, degrees): 6.584 6.584 6.584 154.45 154.45 36.44
Fractional positions:
B 0.250 0.750 0.500
B 0.750 0.250 0.500
Te 0.000 0.000 0.000
C 0.183 0.183 0.000
C 0.817 0.817 0.000

Computed properties:
- crystal system = tetragonal
- formation energy (no corrections) (meV per atom) = 580.0
- raw total energy (Ha/atom) = -0.5102
- magnetic moment (μB per formula unit) = 0.0


Q: Look up the magnetic moment of the fifth one.
A: 0.0 μB per formula unit